MnAgP2 | the Alexandria database | PBE-GGA | optimized geometry; relative energy among the computed polymorphs = 189.4 meV/atom; calculated formation energy = 0.1663 eV/atom; space group = P4mm, No. 99; DFT total energy = -5.544 eV per atom
1.0
3.2203 0.0000 0.0000
0.0000 3.2203 0.0000
0.0000 0.0000 5.8969
Mn Ag P
1 1 2
Direct
0.0000 0.0000 0.0000
0.5000 0.5000 0.6310
0.0000 0.0000 0.3850
0.5000 0.5000 0.0699

=====

MnAg2P | the Alexandria database | PBE-GGA | optimized geometry; calculated formation energy = 0.1300 eV/atom; space group = R3m, No. 160; DFT total energy = -4.940 eV per atom
1.0
1.4455 0.8346 8.5474
-1.4455 0.8346 8.5474
0.0000 -1.6692 8.5474
Mn Ag P
1 2 1
Direct
0.0000 0.0000 0.0000
0.5166 0.5166 0.5166
0.7548 0.7548 0.7548
0.2764 0.2764 0.2764

=====

MnAg2P | the Alexandria database | PBE-GGA | optimized geometry; calculated formation energy = 0.4134 eV/atom; space group = R-3m, No. 166; DFT total energy = -4.657 eV per atom
1.0
1.4925 0.8617 8.7298
-1.4925 0.8617 8.7298
0.0000 -1.7234 8.7298
Mn Ag P
1 2 1
Direct
0.0000 0.0000 0.0000
0.2487 0.2487 0.2487
0.7513 0.7513 0.7513
0.5000 0.5000 0.5000

=====

MnAgP2 | the Alexandria database | PBE-GGA | optimized geometry; relative energy among the computed polymorphs = 65.4 meV/atom; calculated formation energy = 0.0424 eV/atom; space group = C2/m, No. 12; DFT total energy = -5.668 eV per atom
1.0
3.7523 -1.5507 0.0000
3.7523 1.5507 0.0000
-1.0312 0.0000 5.2350
Mn Ag P
1 1 2
Direct
0.0000 0.0000 0.0000
0.5000 0.5000 0.5000
0.2707 0.2707 0.8335
0.7293 0.7293 0.1665

=====

MnAg2P | the Alexandria database | PBE-GGA | optimized geometry; calculated formation energy = 0.2584 eV/atom; space group = P2/m, No. 10; DFT total energy = -4.812 eV per atom
1.0
2.9324 0.0000 0.0000
0.0000 4.8690 0.0000
-0.1123 0.0000 4.6554
Mn Ag P
1 2 1
Direct
0.0000 0.0000 0.0000
0.2670 0.5000 0.7508
0.7330 0.5000 0.2492
0.5000 0.0000 0.5000

=====

MnAg2P | the Alexandria database | PBE-GGA | optimized geometry; calculated formation energy = 0.2809 eV/atom; space group = Pmmm, No. 47; DFT total energy = -4.790 eV per atom
1.0
3.0472 0.0000 0.0000
0.0000 4.0117 0.0000
0.0000 0.0000 5.4544
Mn Ag P
1 2 1
Direct
0.0000 0.0000 0.0000
0.5000 0.5000 0.2482
0.5000 0.5000 0.7518
0.0000 0.0000 0.5000

=====

> Which of these has the lowest DFT total energy?

number 4

=====

> Which of these has the lowest calculated formation energy?

number 4

=====

> Number 1 is which compound?

MnAgP2

=====

> Which formula does entry 6 have?

MnAg2P